Entry from Alexandria via LeMat-Bulk: an optimized crystal structure of Al2CuPb (PBE).

M_tot: 0.000 Bohr magnetons per cell
N(E_F): 3.24 states/eV/cell
VASP energy: -3.53 eV/atom

a b c (Å): 4.3879 4.3879 8.1018
angles (deg): 90.00 90.00 90.00
Closest atoms and distances in Å follow each position.
Element x y z (fractional)
Al 0.0000 0.0000 0.0000  4 Cu 2.99, 4 Al 2.99, 4 Pb 3.10
Al 0.0000 0.5000 0.2500  4 Al 2.99, 4 Pb 2.99, 4 Cu 3.10
Al 0.5000 0.0000 0.7500  4 Pb 2.99, 4 Al 2.99, 4 Cu 3.10
Al 0.5000 0.5000 0.5000  4 Cu 2.99, 4 Al 2.99, 4 Pb 3.10
Cu 0.0000 0.5000 0.7500  4 Pb 2.99, 8 Al 2.99-3.10
Cu 0.5000 0.0000 0.2500  8 Al 2.99-3.10, 4 Pb 2.99
Pb 0.0000 0.0000 0.5000  4 Cu 2.99, 8 Al 2.99-3.10
Pb 0.5000 0.5000 0.0000  8 Al 2.99-3.10, 4 Cu 2.99